(1)
Density functional theory data (PBE) for ZnBiH after structural relaxation.

The space group is Cm (No. 8) and the conventional cell measures 24.225, 3.199 and 3.212 Å, with angles of 90.00, 97.50 and 90.00 degrees. Symmetry generates all atoms from Zn at (0.000, 0.000, 0.000), Zn at (0.137, 0.000, 0.133), Bi at (0.239, 0.500, 0.232), Bi at (0.399, 0.500, 0.401), H at (0.029, 0.500, 0.029) and H at (0.109, 0.000, 0.605).

Its spin magnetization is 0.00 μB per atom. The calculation puts the excess energy over the best structure of this formula in the dataset at 0.137 eV/atom.



(2)
Density functional theory data (PBE) for Ce after structural relaxation.

The space group is Fm-3m (No. 225) and the conventional cell measures 4.706, 4.706 and 4.706 Å, with angles of 90.00, 90.00 and 90.00 degrees. Symmetry generates all atoms from Ce at (0.000, 0.000, 0.000).

Its energy of formation from the pure elements is 0.000 eV per atom. Its spin magnetization is 0.00 μB per atom. The calculation puts the excess energy over the best structure of this formula in the dataset at 0.000 eV/atom.



(3)
Density functional theory data (PBE) for Tm4Co2Ru after structural relaxation.

The space group is C2/m (No. 12) and the conventional cell measures 10.586, 4.169 and 8.250 Å, with angles of 90.00, 126.13 and 90.00 degrees. Symmetry generates all atoms from Tm at (0.088, 0.000, 0.378), Tm at (0.194, 0.500, 0.096), Co at (0.130, 0.500, 0.634) and Ru at (0.000, 0.000, 0.000).

Its energy of formation from the pure elements is -0.260 eV per atom. Its spin magnetization is 0.00 μB per atom.



(4)
Density functional theory data (PBE) for MnBe3S after structural relaxation.

The space group is Pm-3m (No. 221) and the conventional cell measures 3.940, 3.940 and 3.940 Å, with angles of 90.00, 90.00 and 90.00 degrees. Symmetry generates all atoms from Mn at (0.000, 0.000, 0.000), Be at (0.000, 0.500, 0.500) and S at (0.500, 0.500, 0.500).

Its spin magnetization is 0.00 μB per atom. The calculation puts the excess energy over the best structure of this formula in the dataset at 0.000 eV/atom. As for the energy relative to the elements, uncorrected: 1.05 eV/atom.



(5)
Density functional theory data (PBE) for AcHoTmGa after structural relaxation.

The space group is F-43m (No. 216) and the conventional cell measures 7.707, 7.707 and 7.707 Å, with angles of 90.00, 90.00 and 90.00 degrees. Symmetry generates all atoms from Ac at (0.000, 0.000, 0.000), Ho at (0.250, 0.250, 0.250), Tm at (0.250, 0.250, 0.750) and Ga at (0.000, 0.000, 0.500).

Its energy of formation from the pure elements is 0.080 eV per atom. Its spin magnetization is 0.16 μB per atom.



(6)
Density functional theory data (PBE) for Na2PmPaSe4 after structural relaxation.

The space group is P2/m (No. 10) and the conventional cell measures 7.254, 4.149 and 7.492 Å, with angles of 90.00, 108.53 and 90.00 degrees. Symmetry generates all atoms from Na at (0.000, 0.000, 0.000), Na at (0.500, 0.500, 0.000), Pm at (0.000, 0.500, 0.500), Pa at (0.500, 0.000, 0.500), Se at (0.253, 0.000, 0.737) and Se at (0.259, 0.500, 0.263).

Its spin magnetization is 0.24 μB per atom. As for the energy relative to the elements, uncorrected: -1.46 eV/atom.



(7)
Density functional theory data (PBE) for MnFeI after structural relaxation.

The space group is Amm2 (No. 38) and the conventional cell measures 9.932, 3.760 and 6.515 Å, with angles of 90.00, 90.00 and 90.00 degrees. Symmetry generates all atoms from Mn at (0.000, 0.000, 0.000), Mn at (0.500, 0.000, 0.001), Fe at (0.387, 0.000, 0.334) and I at (0.200, 0.000, 0.668).

Its spin magnetization is 0.83 μB per atom. As for the energy relative to the elements, uncorrected: 0.63 eV/atom.



(8)
Density functional theory data (PBE) for Sc3Ga4Ag after structural relaxation.

The space group is Immm (No. 71) and the conventional cell measures 3.206, 5.972 and 16.636 Å, with angles of 90.00, 90.00 and 90.00 degrees. Symmetry generates all atoms from Sc at (0.000, 0.000, 0.000), Sc at (0.000, 0.500, 0.224), Ga at (0.000, 0.278, 0.377) and Ag at (0.000, 0.000, 0.500).

Its energy of formation from the pure elements is -0.355 eV per atom. Its spin magnetization is 0.00 μB per atom.



(9)
Density functional theory data (PBE) for BaCd9In2 after structural relaxation.

The space group is P6/mmm (No. 191) and the conventional cell measures 9.9402, 9.9402 and 3.7079 Å, with angles of 90.00, 90.00 and 120.00 degrees. Symmetry generates all atoms from Ba at (0.0000, 0.0000, 0.0000), Cd at (0.0000, 0.5000, 0.0000), Cd at (0.1824, 0.3649, 0.5000) and In at (0.3333, 0.6667, 0.0000).

Its energy of formation from the pure elements is -0.044 eV per atom. Its spin magnetization is 0.00 μB per atom. The calculation puts the excess energy over the best structure of this formula in the dataset at 0.095 eV/atom.



(10)
Density functional theory data (PBE) for Nd2Ga5Pd4 after structural relaxation.

The space group is Fmmm (No. 69) and the conventional cell measures 5.487, 9.352 and 16.469 Å, with angles of 90.00, 90.00 and 90.00 degrees. Symmetry generates all atoms from Nd at (0.000, 0.000, 0.127), Ga at (0.000, 0.000, 0.500), Ga at (0.250, 0.250, 0.000), Ga at (0.250, 0.250, 0.250) and Pd at (0.000, 0.160, 0.369).

Its energy of formation from the pure elements is -0.747 eV per atom. Its spin magnetization is 0.00 μB per atom.



(11)
Density functional theory data (PBE) for LiSiP after structural relaxation.

The space group is I4mm (No. 107) and the conventional cell measures 3.187, 3.187 and 9.419 Å, with angles of 90.00, 90.00 and 90.00 degrees. Symmetry generates all atoms from Li at (0.000, 0.000, 0.000), Si at (0.000, 0.000, 0.699) and P at (0.000, 0.000, 0.296).

Its spin magnetization is 0.00 μB per atom. The calculation puts the excess energy over the best structure of this formula in the dataset at 0.201 eV/atom. As for the energy relative to the elements, uncorrected: -0.08 eV/atom.



(12)
Density functional theory data (PBE) for BaCd2Cu2 after structural relaxation.

The space group is I4/mmm (No. 139) and the conventional cell measures 4.523, 4.523 and 11.731 Å, with angles of 90.00, 90.00 and 90.00 degrees. Symmetry generates all atoms from Ba at (0.000, 0.000, 0.000), Cd at (0.000, 0.500, 0.250) and Cu at (0.000, 0.000, 0.393).

Its energy of formation from the pure elements is -0.101 eV per atom. Its spin magnetization is 0.00 μB per atom. The calculation puts the excess energy over the best structure of this formula in the dataset at 0.000 eV/atom.



(13)
Density functional theory data (PBE) for BeAg2W after structural relaxation.

The space group is I4/mmm (No. 139) and the conventional cell measures 3.860, 3.860 and 8.202 Å, with angles of 90.00, 90.00 and 90.00 degrees. Symmetry generates all atoms from Be at (0.000, 0.000, 0.000), Ag at (0.000, 0.500, 0.250) and W at (0.000, 0.000, 0.500).

Its energy of formation from the pure elements is 0.817 eV per atom. Its spin magnetization is 0.00 μB per atom.